Compound: CoSn3
Source: OQMD via LeMat-Bulk
Functional: PBE
Structure: relaxed

Cell and atoms, written as POSCAR:
```
CoSn3
1.0
-2.886 -3.120 3.277
1.534 1.214 4.998
-1.600 3.215 -3.988
Co Sn
1 3
direct
0.000 0.000 0.000
0.500 0.500 0.000
0.750 0.250 0.500
0.250 0.750 0.500
```

## Properties
E_tot: -17.43 eV per cell
volume: 88.7 Å³ per cell

---

Compound: Y3Er2Lu2Ni2Te2
Source: OQMD via LeMat-Bulk
Functional: PBE
Structure: relaxed

Cell and atoms, written as POSCAR:
```
Y3Er2Lu2Ni2Te2
1.0
-1.925 7.737 4.736
1.925 -7.737 4.736
1.925 7.737 -4.736
Er Lu Ni Te Y
2 2 2 2 3
direct
0.260 0.893 0.366
0.527 0.893 0.634
0.283 0.097 0.185
0.912 0.097 0.815
0.669 0.409 0.261
0.148 0.409 0.739
0.242 0.242 0.000
0.639 0.139 0.500
0.892 0.744 0.148
0.978 0.478 0.500
0.597 0.744 0.852
```

## Properties
E_tot: -62.64 eV per cell
energy above the most stable polymorph in this dataset: 0 meV per atom
volume: 282.2 Å³ per cell

---

Compound: KPaO3
Source: OQMD via LeMat-Bulk
Functional: PBE
Structure: relaxed

Cell and atoms, written as POSCAR:
```
KPaO3
1.0
6.182 0.000 0.000
0.000 6.203 0.000
0.000 0.000 8.756
K O Pa
4 12 4
direct
0.000 0.004 0.250
0.500 0.504 0.250
0.500 0.496 0.750
0.000 0.996 0.750
0.732 0.268 0.017
0.768 0.768 0.017
0.033 0.496 0.250
0.467 0.996 0.250
0.732 0.268 0.483
0.768 0.768 0.483
0.232 0.232 0.517
0.268 0.732 0.517
0.533 0.004 0.750
0.967 0.504 0.750
0.232 0.232 0.983
0.268 0.732 0.983
0.500 0.000 0.000
0.000 0.500 0.000
0.500 0.000 0.500
0.000 0.500 0.500
```

## Properties
E_tot: -155.58 eV per cell
volume: 335.7 Å³ per cell